1.
VASP calculation (PBE) on a relaxed Na3Zn2In4 crystal.

Lattice parameters (Å, degrees): 4.6361 6.2808 9.2846 103.78 90.00 111.66
Element x y z (fractional)
Na1 0.3705 0.7411 0.6080
Na2 0.0000 0.0000 0.0000
Na3 0.6295 0.2589 0.3920
Zn1 0.3015 0.6030 0.2409
Zn2 0.6985 0.3970 0.7591
In1 0.6917 0.3833 0.0715
In2 0.0785 0.1571 0.6530
In3 0.9215 0.8429 0.3470
In4 0.3083 0.6167 0.9285

- density (g/cm³) = 4.5
- energy (eV/atom) = -1.9611
- relative energy among the computed polymorphs (meV/atom) = 53
- formation energy from the elements (kJ/mol of atoms) = -2.05
- space group = C2/m

2.
VASP calculation (PBE) on a relaxed AcHoN2 crystal.

Lattice parameters (Å, degrees): 3.5961 3.5961 6.6674 74.35 74.35 60.00
Element x y z (fractional)
Ac1 0.6741 0.6741 0.9777
Ho1 0.5041 0.5041 0.4876
N1 0.0843 0.0843 0.7470
N2 0.2374 0.2374 0.2877

- density (g/cm³) = 9.8
- formation energy (no corrections) (meV/atom) = -1074.6
- energy (eV/atom) = -7.4088
- relative energy among the computed polymorphs (meV/atom) = 220
- space group = R3m

3.
VASP calculation (PBE) on a relaxed Mg4AgIr crystal.

Lattice parameters (Å, degrees): 3.2071 5.5013 7.3545 108.78 77.41 73.05
Element x y z (fractional)
Mg1 0.8447 0.5033 0.8073
Mg2 0.3054 0.0478 0.3415
Mg3 0.1553 0.4967 0.1927
Mg4 0.6946 0.9522 0.6585
Ag1 0.0000 0.0000 0.0000
Ir1 0.5000 0.5000 0.5000

- density (g/cm³) = 6.0
- energy (eV/atom) = -3.2627
- relative energy among the computed polymorphs (meV/atom) = 0
- formation energy from the elements (kJ/mol of atoms) = -23.89
- space group = C2/m

4.
VASP calculation (PBE) on a relaxed Li2TaIr crystal.

Lattice parameters (Å, degrees): 2.6646 2.6646 9.6219 90.00 90.00 114.01
Element x y z (fractional)
Ir1 0.5000 0.5000 0.7500
Li1 0.0000 0.0000 0.9733
Li2 0.0000 0.0000 0.5267
Ta1 0.5000 0.5000 0.2500

- density (g/cm³) = 10.3
- energy (eV/atom) = -6.0144
- relative energy among the computed polymorphs (meV/atom) = 281
- formation energy from the elements (kJ/mol of atoms) = 11.67
- space group = Cmmm

5.
VASP calculation (PBE) on a relaxed LiAc2TcO8 crystal.

Lattice parameters (Å, degrees): 4.5504 5.0068 7.8968 89.99 90.01 100.57
Element x y z (fractional)
Li1 0.0000 0.0000 0.5000
Ac1 0.4997 0.5000 0.7579
Ac2 0.5003 0.5000 0.2421
Tc1 0.0000 0.0000 0.0000
O1 0.0873 0.7710 0.1803
O2 0.6107 0.7880 0.9999
O3 0.9128 0.2283 0.1806
O4 0.9127 0.2290 0.8197
O5 0.3893 0.2120 0.0001
O6 0.0872 0.7717 0.8194
O7 0.5539 0.8650 0.5000
O8 0.4461 0.1350 0.5000

- density (g/cm³) = 6.4
- formation energy (no corrections) (meV/atom) = -1973.7
- energy (eV/atom) = -6.9872
- space group = P2/m

6.
VASP calculation (PBE) on a relaxed Rb2ZrGaF6 crystal.

Lattice parameters (Å, degrees): 6.5770 6.5770 6.5958 60.09 60.09 90.00
Element x y z (fractional)
Ga1 0.5000 0.5000 0.0000
Rb1 0.7500 0.2500 0.5000
Rb2 0.2500 0.7500 0.5000
Zr1 0.0000 0.0000 0.0000
F1 0.2305 0.2305 0.5389
F2 0.7695 0.7695 0.4611
F3 0.2275 0.2275 0.0000
F4 0.7725 0.7725 0.0000
F5 0.7725 0.2275 0.0000
F6 0.2275 0.7725 0.0000

- density (g/cm³) = 3.7
- formation energy (no corrections) (meV/atom) = -2731.5
- energy (eV/atom) = -5.2053
- space group = I4/mmm

7.
VASP calculation (PBE) on a relaxed In2SbSe crystal.

Lattice parameters (Å, degrees): 5.2338 5.2262 5.2233 71.10 69.45 108.98
Element x y z (fractional)
In1 0.0000 0.0000 0.0000
In2 0.5000 0.0000 0.5000
Sb1 0.0000 0.5000 0.5000
Se1 0.5000 0.5000 0.0000

- density (g/cm³) = 6.5
- formation energy (no corrections) (meV/atom) = -123.0
- energy (eV/atom) = -3.3940
- relative energy among the computed polymorphs (meV/atom) = 122
- space group = C2/m

8.
VASP calculation (PBE) on a relaxed Cs3Mg2PbF9 crystal.

Lattice parameters (Å, degrees): 6.2546 6.2546 7.7368 90.00 90.00 120.00
Element x y z (fractional)
Cs1 0.3333 0.6667 0.6708
Cs2 0.0000 0.0000 0.0000
Cs3 0.6667 0.3333 0.3292
Mg1 0.3333 0.6667 0.1493
Mg2 0.6667 0.3333 0.8507
Pb1 0.0000 0.0000 0.5000
F1 0.8178 0.1822 0.6929
F2 0.8178 0.6356 0.6929
F3 0.3644 0.1822 0.6929
F4 0.6356 0.8178 0.3071
F5 0.1822 0.3644 0.3071
F6 0.1822 0.8178 0.3071
F7 0.5000 0.0000 0.0000
F8 0.0000 0.5000 0.0000
F9 0.5000 0.5000 0.0000

- density (g/cm³) = 5.2
- formation energy (no corrections) (meV/atom) = -2982.0
- energy (eV/atom) = -4.7354
- space group = P-3m1